Run one
Computed, not measured: a relaxed SrZr3Ru crystal at the PBE level of DFT.

POSCAR file:
```
SrZr3Ru
1.0
5.1633 0.0000 0.0000
0.0000 5.1633 0.0000
0.0000 0.0000 5.1633
Ru Zr Sr
1 3 1
Cartesian
0.0000 0.0000 0.0000
0.0000 2.5816 0.0000
0.0000 0.0000 2.5816
2.5816 0.0000 0.0000
2.5816 2.5816 2.5816
```

The space group is No. 221.

***

Run two
Computed, not measured: a relaxed SrZr3Ru crystal at the PBE level of DFT.

POSCAR file:
```
SrZr3Ru
1.0
4.9680 0.0000 0.0000
0.0000 4.9680 0.0000
0.0000 0.0000 4.9680
Ru Zr Sr
1 3 1
Cartesian
2.4840 2.4840 2.4840
0.0000 2.4840 0.0000
0.0000 0.0000 2.4840
2.4840 0.0000 0.0000
0.0000 0.0000 0.0000
```

The space group is No. 221.

***

Result of the stability comparison: run two is the least stable of them.

***

Run one
Computed, not measured: a relaxed Ta5Ru4 crystal at the PBE level of DFT.

POSCAR file:
```
Ta5Ru4
1.0
5.0839 2.6728 -3.8847
-3.9871 -0.2037 5.6694
3.8871 -5.3525 2.0790
Ta Ru
5 4
Cartesian
0.0000 0.0000 0.0000
-0.9684 0.7536 2.4899
2.0317 -0.1426 1.8860
2.9522 -2.7408 1.9777
2.0651 1.7155 -0.7052
2.9255 -0.8739 -0.5889
6.0455 -1.8058 -1.2169
-0.0674 -3.7443 5.2216
-0.0326 -1.8119 2.5268
```

The space group is No. 139.

***

Run two
Computed, not measured: a relaxed Ta5Ru4 crystal at the PBE level of DFT.

POSCAR file:
```
Ta5Ru4
1.0
8.0113 0.0000 0.0000
4.0057 6.9380 0.0000
0.0000 0.0000 5.3420
Ru Ta
8 10
Cartesian
0.0000 0.0000 0.0000
0.0000 0.0000 2.6710
6.5180 2.5866 1.3355
2.5123 4.3515 1.3355
2.9867 0.0000 1.3355
5.4990 4.3515 4.0065
1.4933 2.5866 4.0065
5.0246 0.0000 4.0065
5.1734 4.9154 1.3355
1.1678 2.0226 1.3355
5.6758 0.0000 1.3355
6.8436 2.0226 4.0065
2.8379 4.9154 4.0065
2.3355 0.0000 4.0065
4.0057 2.3127 0.0000
8.0113 4.6253 2.6710
8.0113 4.6253 0.0000
4.0057 2.3127 2.6710
```

The space group is No. 193.

***

Result of the stability comparison: run one is the least stable of them.

***

Run one
Computed, not measured: a relaxed Ta4Ru crystal at the PBE level of DFT.

POSCAR file:
```
Ta4Ru
1.0
-2.9758 2.9758 2.9758
2.9758 -2.9758 2.9758
2.9758 2.9758 -2.9758
Ta Ru
4 1
Cartesian
-1.4879 1.4879 1.4879
1.4879 1.4879 1.4879
1.4879 -1.4879 1.4879
1.4879 1.4879 -1.4879
0.0000 0.0000 0.0000
```

The space group is No. 229.

***

Run two
Computed, not measured: a relaxed Ta4Ru crystal at the PBE level of DFT.

POSCAR file:
```
Ta4Ru
1.0
4.5114 -0.0045 -0.9242
-1.9942 4.5493 -1.1273
0.3260 0.3356 8.7479
Ta Ru
8 2
Cartesian
1.4573 4.4148 1.7726
0.0688 2.2138 2.8009
1.3264 3.0291 6.3150
3.6307 1.4149 6.3874
1.5168 1.8514 0.3813
-0.7875 3.4656 0.3089
2.7743 2.6667 3.8955
1.3859 0.4658 4.9237
3.5656 0.2963 0.1941
-0.7224 4.5842 6.5023
```

The space group is No. 15.

***

Run three
Computed, not measured: a relaxed Ta4Ru crystal at the PBE level of DFT.

POSCAR file:
```
Ta4Ru
1.0
-0.8019 -0.8505 -4.6025
0.8612 -4.6167 0.7030
-4.6005 -0.7160 0.9338
Ru Ta
1 4
Cartesian
-2.2706 -3.0915 -1.4828
0.0000 0.0000 0.0000
-2.7012 -0.7832 -1.8343
-1.8697 -2.6663 0.8184
0.0297 -2.7336 -1.9497
```

The space group is No. 221.

***

Run four
Computed, not measured: a relaxed Ta4Ru crystal at the PBE level of DFT.

POSCAR file:
```
Ta4Ru
1.0
5.4965 0.0000 0.0000
0.0000 5.4965 0.0000
-2.7482 -2.7482 6.1221
Ta Ru
8 2
Cartesian
-0.7691 4.0188 2.0950
-1.2705 -0.7691 5.1560
3.5174 1.4777 0.9660
-1.2706 1.9791 4.0270
1.2706 0.7691 5.1560
1.9791 4.0188 0.9660
1.2705 3.5174 4.0270
0.7691 1.4777 2.0950
2.7482 0.0000 3.0610
0.0000 0.0000 0.0000
```

The space group is No. 88.

***

Result of the stability comparison: run three is the least stable of them.

***

Run one
Computed, not measured: a relaxed Ta4Ru crystal at the PBE level of DFT.

POSCAR file:
```
Ta4Ru
1.0
-3.1736 6.5669 2.7133
-0.0878 7.6899 -1.1902
-0.3198 -7.4015 -2.3821
Ta Ru
4 1
Cartesian
-1.0192 3.7084 -1.4054
-1.9219 8.4011 0.8975
-1.3396 5.8557 0.6256
-2.5621 3.1469 0.5464
0.0000 0.0000 0.0000
```

The space group is No. 139.

***

Run two
Computed, not measured: a relaxed Ta4Ru crystal at the PBE level of DFT.

POSCAR file:
```
Ta4Ru
1.0
-2.7387 -1.5154 0.7961
1.2358 -3.7022 3.7550
0.5200 4.2465 3.3213
Ru Ta
1 4
Cartesian
0.0000 0.0000 0.0000
-0.9836 -2.5099 4.9406
0.0008 1.5388 2.9318
-0.4637 0.2449 5.4219
-0.5191 -1.2160 2.4505
```

The space group is No. 87.

***

Result of the stability comparison: run one is the least stable of them.

***

Run one
Computed, not measured: a relaxed Ta4Ru5 crystal at the PBE level of DFT.

POSCAR file:
```
Ta4Ru5
1.0
-3.7999 1.2272 0.1753
-3.7500 -4.9683 -0.9371
1.8301 -1.6689 5.7870
Ru Ta
5 4
Cartesian
0.0000 0.0000 0.0000
-0.0469 -0.7078 3.9405
-2.5091 -1.2242 -0.2497
-5.0408 -2.5169 -0.5120
-1.9230 0.2662 2.0218
-0.5985 -2.0692 1.5120
-1.3213 -4.5680 3.3380
-3.1950 -3.5571 1.2139
-2.5248 -1.8529 3.8114
```

The space group is No. 139.

***

Run two
Computed, not measured: a relaxed Ta4Ru5 crystal at the PBE level of DFT.

POSCAR file:
```
Ta4Ru5
1.0
7.7827 0.0000 0.0000
3.8914 6.7400 0.0000
0.0000 0.0000 5.4509
Ru Ta
10 8
Cartesian
5.1093 4.6304 1.3627
1.2180 2.1096 1.3627
5.3467 0.0000 1.3627
6.5647 2.1096 4.0882
2.6734 4.6304 4.0882
2.4360 0.0000 4.0882
3.8914 2.2467 0.0000
7.7827 4.4934 2.7255
7.7827 4.4934 0.0000
3.8914 2.2467 2.7255
0.0000 0.0000 0.0000
0.0000 0.0000 2.7255
6.3739 2.4401 1.3627
2.4826 4.3000 1.3627
2.8175 0.0000 1.3627
5.3001 4.3000 4.0882
1.4088 2.4401 4.0882
4.9652 0.0000 4.0882
```

The space group is No. 193.

***

Result of the stability comparison: run two is the least stable of them.

***

Run one
Computed, not measured: a relaxed TaTcRu crystal at the PBE level of DFT.

POSCAR file:
```
TaTcRu
1.0
-3.9039 0.8143 1.8811
0.2062 -1.0921 -4.2670
-0.2353 -2.6951 0.6784
Ru Ta Tc
1 1 1
Cartesian
-0.0092 -0.1049 0.0264
-1.2434 -1.3687 -1.9880
-2.6803 -1.4992 0.2542
```

The space group is No. 156.

***

Run two
Computed, not measured: a relaxed TaTcRu crystal at the PBE level of DFT.

POSCAR file:
```
TaTcRu
1.0
-1.3354 4.1921 -4.5111
-1.2461 1.7711 -5.9176
-2.7995 -0.0518 -0.0891
Ru Ta Tc
1 1 1
Cartesian
-2.7972 0.0116 -0.1982
-2.7264 1.9647 -3.5555
-2.6568 3.8833 -6.8532
```

The space group is No. 107.

***

Result of the stability comparison: run one is the least stable of them.